Pm4Si3 | PBE | relaxed

Values from the calculation:
ΔE_f (raw)   -0.666 eV per atom
Space-group type   I-43d (220)
Offset from the most stable computed form   0.000 eV/atom

a = 7.8270 Å, b = 7.8270 Å, c = 7.8270 Å
α = 109.47°, β = 109.47°, γ = 109.47°
Closest atoms and distances in Å follow each position.
Fractional coordinates of all 14 atoms:
Si  0.8750  0.2500  0.6250  8 Pm 2.97-3.31
Pm  0.0000  0.0000  0.3681  6 Si 2.97-3.31
Pm  0.5000  0.8681  0.5000  6 Si 2.97-3.31
Pm  0.1319  0.6319  0.6319  6 Si 2.97-3.31
Si  0.6250  0.7500  0.8750  8 Pm 2.97-3.31
Pm  0.6319  0.1319  0.1319  6 Si 2.97-3.31
Si  0.1250  0.3750  0.2500  8 Pm 2.97-3.31
Pm  0.0000  0.0000  0.8681  6 Si 2.97-3.31
Pm  0.3681  0.5000  0.0000  6 Si 2.97-3.31
Pm  0.8681  0.5000  0.0000  6 Si 2.97-3.31
Si  0.2500  0.8750  0.1250  8 Pm 2.97-3.31
Si  0.3750  0.1250  0.7500  8 Pm 2.97-3.31
Si  0.7500  0.6250  0.3750  8 Pm 2.97-3.31
Pm  0.5000  0.3681  0.5000  6 Si 2.97-3.31

Al2TlCoSi | PBE | relaxed

Values from the calculation:
ΔE_f (raw)   0.444 eV per atom
Space-group type   P4/mmm (123)
Offset from the most stable computed form   0.000 eV/atom

a = 4.4993 Å, b = 4.9920 Å, c = 4.4993 Å
α = 90.00°, β = 90.00°, γ = 90.00°
Closest atoms and distances in Å follow each position.
Fractional coordinates of all 5 atoms:
Co  0.0000  0.0000  0.0000  4 Al 2.25, 2 Tl 2.50
Si  0.5000  0.5000  0.5000  4 Tl 3.18, 8 Al 3.36
Al  0.0000  0.0000  0.5000  2 Co 2.25
Tl  0.0000  0.5000  0.0000  2 Co 2.50
Al  0.5000  0.0000  0.0000  2 Co 2.25

MgAs2Pb | PBE | relaxed

Values from the calculation:
Space-group type   P4mm (99)
Energy of formation   24 meV/atom

a = 3.6653 Å, b = 3.6653 Å, c = 7.0692 Å
α = 90.00°, β = 90.00°, γ = 90.00°
Closest atoms and distances in Å follow each position.
Fractional coordinates of all 4 atoms:
As  0.5000  0.5000  0.2158  4 As 2.75
Mg  0.0000  0.0000  0.4636  1 As 2.67
Pb  0.5000  0.5000  0.7348  4 Mg 3.22, 5 As 3.40-3.59
As  0.0000  0.0000  0.0858  1 Mg 2.67, 4 As 2.75

no.,size of the total moment (μB/cell)
1,0.00
2,0.00
3,0.00